KLiI2: optimized geometry, GGA-PBE.

Unit cell a=5.840 b=5.840 c=5.840 alpha=60.00 beta=60.00 gamma=60.00
Atoms (fractional coordinates):
K (0.000, 0.000, 0.000)
Li (0.500, 0.500, 0.500)
I (0.250, 0.250, 0.250)
I (0.750, 0.750, 0.750)

Computed properties:
The polymorph energy (0 for the lowest one) is 215 meV/atom.

KLiI2: optimized geometry, GGA-PBE.

Unit cell a=8.315 b=8.315 c=8.315 alpha=31.94 beta=31.94 gamma=31.94
Atoms (fractional coordinates):
K (0.000, 0.000, 0.000)
Li (0.500, 0.500, 0.500)
I (0.236, 0.236, 0.236)
I (0.764, 0.764, 0.764)

Computed properties:
The polymorph energy (0 for the lowest one) is 36 meV/atom.

K2LiI: optimized geometry, GGA-PBE.

Unit cell a=4.398 b=4.398 c=8.851 alpha=90.00 beta=90.00 gamma=90.00
Atoms (fractional coordinates):
K (0.000, 0.000, 0.233)
K (0.000, 0.000, 0.767)
Li (0.500, 0.500, 0.500)
I (0.500, 0.500, 0.000)

Computed properties:
The polymorph energy (0 for the lowest one) is 0 meV/atom.

K2LiI: optimized geometry, GGA-PBE.

Unit cell a=6.337 b=6.337 c=6.337 alpha=60.00 beta=60.00 gamma=60.00
Atoms (fractional coordinates):
K (0.250, 0.250, 0.250)
K (0.750, 0.750, 0.750)
Li (0.000, 0.000, 0.000)
I (0.500, 0.500, 0.500)

Computed properties:
The polymorph energy (0 for the lowest one) is 141 meV/atom.

K4LiI5: optimized geometry, GGA-PBE.

Unit cell a=20.533 b=20.533 c=20.533 alpha=13.65 beta=13.65 gamma=13.65
Atoms (fractional coordinates):
K (0.105, 0.105, 0.105)
K (0.298, 0.298, 0.298)
K (0.702, 0.702, 0.702)
K (0.895, 0.895, 0.895)
Li (0.500, 0.500, 0.500)
I (0.000, 0.000, 0.000)
I (0.192, 0.192, 0.192)
I (0.404, 0.404, 0.404)
I (0.596, 0.596, 0.596)
I (0.808, 0.808, 0.808)

K3LiI4: optimized geometry, GGA-PBE.

Unit cell a=9.615 b=12.514 c=11.140 alpha=90.00 beta=90.00 gamma=90.00
Atoms (fractional coordinates):
K (0.032, 0.032, 0.220)
K (0.032, 0.468, 0.220)
K (0.094, 0.750, 0.444)
K (0.406, 0.250, 0.944)
K (0.468, 0.532, 0.720)
K (0.468, 0.968, 0.720)
K (0.532, 0.032, 0.280)
K (0.532, 0.468, 0.280)
K (0.594, 0.750, 0.056)
K (0.906, 0.250, 0.556)
K (0.968, 0.532, 0.780)
K (0.968, 0.968, 0.780)
Li (0.179, 0.750, 0.995)
Li (0.321, 0.250, 0.495)
Li (0.679, 0.750, 0.505)
Li (0.821, 0.250, 0.005)
I (0.048, 0.250, 0.852)
I (0.189, 0.750, 0.741)
I (0.203, 0.049, 0.520)
I (0.203, 0.451, 0.520)
I (0.297, 0.549, 0.020)
I (0.297, 0.951, 0.020)
I (0.311, 0.250, 0.241)
I (0.452, 0.750, 0.352)
I (0.548, 0.250, 0.648)
I (0.689, 0.750, 0.759)
I (0.703, 0.049, 0.980)
I (0.703, 0.451, 0.980)
I (0.797, 0.549, 0.480)
I (0.797, 0.951, 0.480)
I (0.811, 0.250, 0.259)
I (0.952, 0.750, 0.148)

Computed properties:
The polymorph energy (0 for the lowest one) is 0 meV/atom.

KLi2I3: optimized geometry, GGA-PBE.

Unit cell a=13.703 b=13.703 c=7.500 alpha=104.21 beta=104.21 gamma=20.04
Atoms (fractional coordinates):
K (0.138, 0.138, 0.418)
K (0.862, 0.862, 0.582)
Li (0.207, 0.207, 0.020)
Li (0.446, 0.446, 0.084)
Li (0.554, 0.554, 0.916)
Li (0.793, 0.793, 0.980)
I (0.106, 0.106, 0.858)
I (0.267, 0.267, 0.768)
I (0.453, 0.453, 0.723)
I (0.547, 0.547, 0.277)
I (0.733, 0.733, 0.232)
I (0.894, 0.894, 0.142)

K2LiI: optimized geometry, GGA-PBE.

Unit cell a=8.363 b=8.363 c=8.363 alpha=109.77 beta=109.77 gamma=108.88
Atoms (fractional coordinates):
K (0.094, 0.625, 0.969)
K (0.375, 0.344, 0.469)
K (0.656, 0.125, 0.031)
K (0.875, 0.906, 0.531)
Li (0.250, 0.750, 0.500)
Li (0.500, 0.500, 0.000)
I (0.000, 0.000, 0.000)
I (0.750, 0.250, 0.500)

Computed properties:
The polymorph energy (0 for the lowest one) is 124 meV/atom.

KLi3I: optimized geometry, GGA-PBE.

Unit cell a=5.674 b=5.674 c=5.674 alpha=90.00 beta=90.00 gamma=90.00
Atoms (fractional coordinates):
K (0.000, 0.000, 0.000)
Li (0.000, 0.500, 0.500)
Li (0.500, 0.000, 0.500)
Li (0.500, 0.500, 0.000)
I (0.500, 0.500, 0.500)

Computed properties:
The polymorph energy (0 for the lowest one) is 0 meV/atom.

KLi6I8: optimized geometry, GGA-PBE.

Unit cell a=8.033 b=8.033 c=8.033 alpha=91.04 beta=91.04 gamma=91.04
Atoms (fractional coordinates):
K (0.000, 0.000, 0.000)
Li (0.177, 0.583, 0.398)
Li (0.398, 0.177, 0.583)
Li (0.417, 0.602, 0.823)
Li (0.583, 0.398, 0.177)
Li (0.602, 0.823, 0.417)
Li (0.823, 0.417, 0.602)
I (0.142, 0.383, 0.732)
I (0.264, 0.264, 0.264)
I (0.268, 0.858, 0.617)
I (0.383, 0.732, 0.142)
I (0.617, 0.268, 0.858)
I (0.732, 0.142, 0.383)
I (0.736, 0.736, 0.736)
I (0.858, 0.617, 0.268)

KLi3I: optimized geometry, GGA-PBE.

Unit cell a=6.063 b=6.063 c=6.063 alpha=90.00 beta=90.00 gamma=90.00
Atoms (fractional coordinates):
K (0.000, 0.000, 0.000)
Li (0.000, 0.000, 0.500)
Li (0.000, 0.500, 0.000)
Li (0.500, 0.000, 0.000)
I (0.500, 0.500, 0.500)

Computed properties:
The polymorph energy (0 for the lowest one) is 553 meV/atom.

K2LiI4: optimized geometry, GGA-PBE.

Unit cell a=10.262 b=10.262 c=10.262 alpha=148.87 beta=148.87 gamma=44.60
Atoms (fractional coordinates):
K (0.145, 0.145, 0.000)
K (0.855, 0.855, 0.000)
Li (0.500, 0.500, 0.000)
I (0.000, 0.500, 0.500)
I (0.330, 0.330, 0.000)
I (0.500, 0.000, 0.500)
I (0.670, 0.670, 0.000)

KLiI2: optimized geometry, GGA-PBE.

Unit cell a=10.159 b=4.665 c=13.970 alpha=90.00 beta=90.00 gamma=90.00
Atoms (fractional coordinates):
K (0.239, 0.250, 0.192)
K (0.261, 0.750, 0.692)
K (0.739, 0.250, 0.308)
K (0.761, 0.750, 0.808)
Li (0.053, 0.750, 0.418)
Li (0.447, 0.250, 0.918)
Li (0.553, 0.750, 0.082)
Li (0.947, 0.250, 0.582)
I (0.016, 0.250, 0.769)
I (0.183, 0.250, 0.478)
I (0.317, 0.750, 0.978)
I (0.484, 0.750, 0.269)
I (0.516, 0.250, 0.731)
I (0.683, 0.250, 0.022)
I (0.817, 0.750, 0.522)
I (0.984, 0.750, 0.231)

Computed properties:
The polymorph energy (0 for the lowest one) is 0 meV/atom.

KLiI2: optimized geometry, GGA-PBE.

Unit cell a=4.091 b=4.091 c=8.324 alpha=90.00 beta=90.00 gamma=90.00
Atoms (fractional coordinates):
K (0.000, 0.000, 0.000)
Li (0.000, 0.000, 0.500)
I (0.500, 0.500, 0.269)
I (0.500, 0.500, 0.731)

Computed properties:
The polymorph energy (0 for the lowest one) is 201 meV/atom.

KLiI2: optimized geometry, GGA-PBE.

Unit cell a=8.449 b=8.449 c=8.449 alpha=31.09 beta=31.09 gamma=31.09
Atoms (fractional coordinates):
K (0.000, 0.000, 0.000)
Li (0.831, 0.831, 0.831)
I (0.235, 0.235, 0.235)
I (0.431, 0.431, 0.431)

Computed properties:
The polymorph energy (0 for the lowest one) is 48 meV/atom.

KLi2I2: optimized geometry, GGA-PBE.

Unit cell a=11.731 b=11.731 c=11.731 alpha=157.14 beta=157.14 gamma=32.55
Atoms (fractional coordinates):
K (0.000, 0.000, 0.000)
Li (0.250, 0.750, 0.500)
Li (0.750, 0.250, 0.500)
I (0.317, 0.317, 0.000)
I (0.683, 0.683, 0.000)

KLiI2: optimized geometry, GGA-PBE.

Unit cell a=7.538 b=7.538 c=7.538 alpha=114.77 beta=114.77 gamma=99.32
Atoms (fractional coordinates):
K (0.000, 0.000, 0.000)
K (0.750, 0.250, 0.500)
Li (0.250, 0.750, 0.500)
Li (0.500, 0.500, 0.000)
I (0.193, 0.625, 0.068)
I (0.375, 0.443, 0.568)
I (0.557, 0.125, 0.932)
I (0.875, 0.807, 0.432)

Computed properties:
The polymorph energy (0 for the lowest one) is 23 meV/atom.

KLi2I3: optimized geometry, GGA-PBE.

Unit cell a=8.785 b=8.785 c=6.293 alpha=90.00 beta=90.00 gamma=106.92
Atoms (fractional coordinates):
K (0.220, 0.780, 0.750)
K (0.780, 0.220, 0.250)
Li (0.332, 0.332, 0.000)
Li (0.332, 0.332, 0.500)
Li (0.668, 0.668, 0.000)
Li (0.668, 0.668, 0.500)
I (0.083, 0.336, 0.750)
I (0.336, 0.083, 0.250)
I (0.393, 0.607, 0.250)
I (0.607, 0.393, 0.750)
I (0.664, 0.917, 0.750)
I (0.917, 0.664, 0.250)

KLiMg2I6: optimized geometry, GGA-PBE.

Unit cell a=10.761 b=10.761 c=8.463 alpha=104.42 beta=104.42 gamma=88.28
Atoms (fractional coordinates):
K (0.122, 0.878, 0.750)
K (0.878, 0.122, 0.250)
Li (0.207, 0.793, 0.250)
Li (0.793, 0.207, 0.750)
Mg (0.232, 0.385, 0.800)
Mg (0.385, 0.232, 0.300)
Mg (0.615, 0.768, 0.700)
Mg (0.768, 0.615, 0.200)
I (0.041, 0.196, 0.677)
I (0.140, 0.616, 0.937)
I (0.196, 0.041, 0.177)
I (0.304, 0.433, 0.523)
I (0.384, 0.860, 0.563)
I (0.433, 0.304, 0.023)
I (0.567, 0.696, 0.977)
I (0.616, 0.140, 0.437)
I (0.696, 0.567, 0.477)
I (0.804, 0.959, 0.823)
I (0.860, 0.384, 0.063)
I (0.959, 0.804, 0.323)

KLi2MgI6: optimized geometry, GGA-PBE.

Unit cell a=11.091 b=11.091 c=8.933 alpha=109.18 beta=109.18 gamma=92.65
Atoms (fractional coordinates):
K (0.118, 0.882, 0.750)
K (0.882, 0.118, 0.250)
Li (0.250, 0.420, 0.887)
Li (0.420, 0.250, 0.387)
Li (0.580, 0.750, 0.613)
Li (0.750, 0.580, 0.113)
Mg (0.171, 0.829, 0.250)
Mg (0.829, 0.171, 0.750)
I (0.064, 0.193, 0.702)
I (0.147, 0.645, 0.945)
I (0.193, 0.064, 0.202)
I (0.340, 0.422, 0.626)
I (0.355, 0.853, 0.555)
I (0.422, 0.340, 0.126)
I (0.578, 0.660, 0.874)
I (0.645, 0.147, 0.445)
I (0.660, 0.578, 0.374)
I (0.807, 0.936, 0.798)
I (0.853, 0.355, 0.055)
I (0.936, 0.807, 0.298)

| no. | E_form (uncorrected) (kJ/mol of atoms) |
| --- | --- |
| 1 | -108 |
| 2 | -125 |
| 3 | -56 |
| 4 | -43 |
| 5 | -135 |
| 6 | -132 |
| 7 | -122 |
| 8 | -44 |
| 9 | -16 |
| 10 | -102 |
| 11 | 37 |
| 12 | -101 |
| 13 | -128 |
| 14 | -109 |
| 15 | -124 |
| 16 | -86 |
| 17 | -126 |
| 18 | -121 |
| 19 | -108 |
| 20 | -98 |